Computed, not measured: an optimized crystal structure of MgCdHg2 at the PBE level of DFT.

Its formation energy is -0.046 eV per atom. The value obtained for the total magnetic moment is 0.0000 μB/atom. The value obtained for the calculated volume is 23.12 A^3/atom. The value obtained for the raw total energy is -0.061 Ry/atom.

The space group is P4mm (No. 99) and the conventional cell measures 3.301, 3.301 and 8.486 Å, with angles of 90.00, 90.00 and 90.00 degrees. The distinct sites, in fractional coordinates, are Mg at (0.000, 0.000, 0.000), Cd at (0.500, 0.500, 0.242), Hg at (0.000, 0.000, 0.499) and Hg at (0.500, 0.500, 0.776).